A relaxed structure of Tb5Ho4Al, computed with GGA-PBE.

Lattice parameters (Å, degrees): 5.675 7.967 7.967 82.71 69.13 69.13
Atoms (fractional coordinates):
1 Tb 0.657 0.000 0.000
2 Tb 0.780 0.000 0.367
3 Al 0.175 0.000 0.000
4 Ho 0.457 0.315 0.685
5 Ho 0.457 0.685 0.315
6 Tb 0.780 0.367 0.000
7 Tb 0.147 0.633 0.000
8 Ho 0.141 0.315 0.315
9 Ho 0.772 0.685 0.685
10 Tb 0.147 0.000 0.633

Calculated values
SG = I4mm
Raw total energy = -4.3954 eV per atom
Energy of formation from the pure elements = 0.13 eV/atom